[1]
DFT (PBE) results for a relaxed Al5CuPt6 crystal.

Properties
ΔE_f: -10.75 eV/f.u.
SG: C2/m (12)

POSCAR file:
```
Al5CuPt6
1.0
-1.190 -0.906 3.811
5.059 -4.930 -1.815
2.786 6.736 0.247
Pt Cu Al
6 1 5
Direct
0.274 0.106 0.445
0.726 0.555 0.894
0.763 0.265 0.265
0.726 0.894 0.555
0.274 0.445 0.106
0.237 0.735 0.735
0.000 0.000 0.000
0.500 0.849 0.151
0.500 0.500 0.500
0.000 0.323 0.677
0.000 0.677 0.323
0.500 0.151 0.849
```

=====

[2]
DFT (PBE) results for a relaxed Sr2MnWCl crystal.

Properties
SG: P4/mmm (123)
Formation energy from raw total energies: 0.660 eV per atom

POSCAR file:
```
Sr2MnWCl
1.0
5.629 0.000 0.000
0.000 5.629 0.000
0.000 0.000 4.491
W Mn Sr Cl
1 1 2 1
Direct
0.000 0.000 0.500
0.500 0.500 0.500
0.000 0.500 0.000
0.500 0.000 0.000
0.000 0.000 0.000
```

=====

[3]
DFT (PBE) results for a relaxed LiScCo2Re crystal.

Properties
ΔE_f: 4.40 eV/f.u.
SG: P4/mmm (123)

POSCAR file:
```
LiScCo2Re
1.0
-4.334 0.864 0.904
-0.270 -4.153 2.676
1.226 2.295 3.685
Li Re Co Sc
1 1 2 1
Direct
0.500 0.500 0.500
0.000 0.000 0.000
0.500 0.000 0.000
0.000 0.000 0.500
0.000 0.500 0.000
```

=====

[4]
DFT (PBE) results for a relaxed TbPm3Ge2C crystal.

Properties
ΔE_f: -3.97 eV/f.u.
SG: Immm (71)

POSCAR file:
```
TbPm3Ge2C
1.0
4.766 0.000 0.000
0.000 4.845 0.000
-2.383 -2.423 7.834
Pm Ge C Tb
3 2 1 1
Direct
0.000 0.500 0.000
0.831 0.831 0.662
0.169 0.169 0.338
0.635 0.635 0.271
0.365 0.365 0.729
0.000 0.000 0.000
0.500 0.000 0.000
```

=====

[5]
DFT (PBE) results for a relaxed LaDy2V crystal.

Properties
ΔE_f: 2.50 eV/f.u.
SG: R-3m (166)

POSCAR file:
```
LaDy2V
1.0
-1.029 3.186 -0.613
-1.579 0.746 -2.922
-11.104 -1.046 3.751
Dy La V
2 1 1
Direct
0.920 0.920 0.240
0.080 0.080 0.760
0.500 0.500 0.500
0.000 0.000 0.000
```

=====

[6]
DFT (PBE) results for a relaxed NaPu2Si4Pt3 crystal.

Properties
SG: P-4m2 (115)
Formation energy from raw total energies: -0.622 eV per atom

POSCAR file:
```
NaPu2Si4Pt3
1.0
4.239 0.000 0.000
0.000 4.239 0.000
0.000 0.000 10.195
Na Si Pt Pu
1 4 3 2
Direct
0.500 0.500 0.500
0.000 0.500 0.350
0.000 0.000 0.000
0.500 0.000 0.650
0.500 0.500 0.000
0.500 0.000 0.884
0.000 0.500 0.116
0.000 0.000 0.500
0.000 0.500 0.756
0.500 0.000 0.244
```

=====

[7]
DFT (PBE) results for a relaxed KBaY2Nb crystal.

Properties
ΔE_f: 9.43 eV/f.u.
SG: P4/mmm (123)

POSCAR file:
```
KBaY2Nb
1.0
5.735 0.000 0.000
0.000 5.642 0.000
0.000 0.000 5.735
K Y Ba Nb
1 2 1 1
Direct
0.000 0.500 0.000
0.500 0.000 0.000
0.000 0.000 0.500
0.000 0.000 0.000
0.500 0.500 0.500
```

=====

[8]
DFT (PBE) results for a relaxed CsInH2 crystal.

Properties
SG: I-42d (122)

POSCAR file:
```
CsInH2
1.0
5.593 0.000 0.000
0.000 5.593 0.000
2.796 2.796 6.255
In H Cs
2 4 2
Direct
0.250 0.750 0.500
0.500 0.500 0.000
0.328 0.625 0.250
0.875 0.672 0.750
0.375 0.578 0.750
0.422 0.125 0.250
0.750 0.250 0.500
0.000 0.000 0.000
```

=====

Number 1: V 14.6 Å³ per atom, E_tot -5.817 eV per atom. Number 2: V 28.5 Å³ per atom, E_tot -4.806 eV per atom. Number 3: V 20.1 Å³ per atom, E_tot -6.102 eV per atom. Number 4: V 25.8 Å³ per atom, E_tot -5.901 eV per atom. Number 5: V 29.1 Å³ per atom, E_tot -5.187 eV per atom. Number 6: V 18.3 Å³ per atom, E_tot -7.602 eV per atom. Number 7: V 37.1 Å³ per atom, E_tot -3.317 eV per atom. Number 8: V 24.5 Å³ per atom, E_tot -2.426 eV per atom.